<A>
This record from Alexandria via LeMat-Bulk describes a geometry-optimized BeAsW structure. The functional is GGA-PBE.

The space group is Fmm2 (No. 42) and the conventional cell measures 3.265, 4.518 and 12.126 Å, with angles of 90.00, 90.00 and 90.00 degrees. The asymmetric unit holds Be at (0.000, 0.000, 0.000), As at (0.000, 0.000, 0.679) and W at (0.000, 0.000, 0.354).

The calculation puts the density of states at the Fermi level at 7.5 states/eV/cell.


<B>
This record from Alexandria via LeMat-Bulk describes a geometry-optimized BeAsW structure. The functional is GGA-PBE.

The space group is I4mm (No. 107) and the conventional cell measures 2.807, 2.807 and 12.702 Å, with angles of 90.00, 90.00 and 90.00 degrees. The asymmetric unit holds Be at (0.000, 0.000, 0.000), As at (0.000, 0.000, 0.272) and W at (0.000, 0.000, 0.619).

The calculation puts the density of states at the Fermi level at 5.7 states/eV/cell.


Structures ranked by computed energy, the most stable listed first: <A>, <B>.


<A>
This record from Alexandria via LeMat-Bulk describes a geometry-optimized Be3AsW structure. The functional is GGA-PBE.

The space group is Pm-3m (No. 221) and the conventional cell measures 4.137, 4.137 and 4.137 Å, with angles of 90.00, 90.00 and 90.00 degrees. The asymmetric unit holds Be at (0.000, 0.000, 0.500), As at (0.000, 0.000, 0.000) and W at (0.500, 0.500, 0.500).

The calculation puts the density of states at the Fermi level at 3.9 states/eV/cell.


<B>
This record from Alexandria via LeMat-Bulk describes a geometry-optimized Be3AsW structure. The functional is GGA-PBE.

The space group is Pm-3m (No. 221) and the conventional cell measures 4.362, 4.362 and 4.362 Å, with angles of 90.00, 90.00 and 90.00 degrees. The asymmetric unit holds Be at (0.000, 0.000, 0.500), As at (0.500, 0.500, 0.500) and W at (0.000, 0.000, 0.000).

The calculation puts the density of states at the Fermi level at 2.8 states/eV/cell.


Structures ranked by computed energy, the most stable listed first: <A>, <B>.


<A>
This record from Alexandria via LeMat-Bulk describes a geometry-optimized YBeAs structure. The functional is GGA-PBE.

The space group is F-43m (No. 216) and the conventional cell measures 6.043, 6.043 and 6.043 Å, with angles of 90.00, 90.00 and 90.00 degrees. The asymmetric unit holds Y at (0.000, 0.000, 0.000), Be at (0.250, 0.250, 0.250) and As at (0.000, 0.000, 0.500).

The calculation puts the density of states at the Fermi level at 10.4 states/eV/cell.


<B>
This record from Alexandria via LeMat-Bulk describes a geometry-optimized YBeAs structure. The functional is GGA-PBE.

The space group is F-43m (No. 216) and the conventional cell measures 6.535, 6.535 and 6.535 Å, with angles of 90.00, 90.00 and 90.00 degrees. The asymmetric unit holds Y at (0.000, 0.000, 0.000), Be at (0.250, 0.250, 0.250) and As at (0.250, 0.250, 0.750).

The calculation puts the density of states at the Fermi level at 5.4 states/eV/cell.


<C>
This record from Alexandria via LeMat-Bulk describes a geometry-optimized YBeAs structure. The functional is GGA-PBE.

The space group is P3m1 (No. 156) and the conventional cell measures 3.8477, 3.8477 and 4.0747 Å, with angles of 90.00, 90.00 and 120.00 degrees. The asymmetric unit holds Y at (0.0000, 0.0000, 0.0000), Be at (0.3333, 0.6667, 0.5013) and As at (0.6667, 0.3333, 0.4996).

The calculation puts the density of states at the Fermi level at 0.5 states/eV/cell.


Structures ranked by computed energy, the most stable listed first: <C>, <A>, <B>.


<A>
This record from Alexandria via LeMat-Bulk describes a geometry-optimized YBeAs structure. The functional is GGA-PBE.

The space group is F-43m (No. 216) and the conventional cell measures 6.298, 6.298 and 6.298 Å, with angles of 90.00, 90.00 and 90.00 degrees. The asymmetric unit holds Y at (0.000, 0.000, 0.000), Be at (0.000, 0.000, 0.500) and As at (0.250, 0.250, 0.750).

The calculation puts the density of states at the Fermi level at 5.4 states/eV/cell.


<B>
This record from Alexandria via LeMat-Bulk describes a geometry-optimized YBeAs structure. The functional is GGA-PBE.

The space group is I4mm (No. 107) and the conventional cell measures 3.342, 3.342 and 9.945 Å, with angles of 90.00, 90.00 and 90.00 degrees. The asymmetric unit holds Y at (0.000, 0.000, 0.000), Be at (0.000, 0.000, 0.702) and As at (0.000, 0.000, 0.291).

The calculation puts the density of states at the Fermi level at 3.9 states/eV/cell.


<C>
This record from Alexandria via LeMat-Bulk describes a geometry-optimized YBeAs structure. The functional is GGA-PBE.

The space group is Fmm2 (No. 42) and the conventional cell measures 4.022, 5.662 and 10.170 Å, with angles of 90.00, 90.00 and 90.00 degrees. The asymmetric unit holds Y at (0.000, 0.000, 0.000), Be at (0.000, 0.000, 0.302) and As at (0.000, 0.000, 0.701).

The calculation puts the density of states at the Fermi level at 4.5 states/eV/cell.


Structures ranked by computed energy, the most stable listed first: <C>, <B>, <A>.


<A>
This record from Alexandria via LeMat-Bulk describes a geometry-optimized Y2BeAs structure. The functional is GGA-PBE.

The space group is Imm2 (No. 44) and the conventional cell measures 3.690, 4.328 and 10.782 Å, with angles of 90.00, 90.00 and 90.00 degrees. The asymmetric unit holds Y at (0.000, 0.000, 0.000), Y at (0.000, 0.500, 0.238), Be at (0.000, 0.000, 0.443) and As at (0.000, 0.500, 0.807).

The calculation puts the density of states at the Fermi level at 4.7 states/eV/cell.


<B>
This record from Alexandria via LeMat-Bulk describes a geometry-optimized Y2BeAs structure. The functional is GGA-PBE.

The space group is Amm2 (No. 38) and the conventional cell measures 3.825, 4.208 and 10.579 Å, with angles of 90.00, 90.00 and 90.00 degrees. The asymmetric unit holds Y at (0.000, 0.000, 0.000), Y at (0.500, 0.000, 0.287), Be at (0.000, 0.000, 0.714) and As at (0.500, 0.000, 0.578).

The calculation puts the density of states at the Fermi level at 4.6 states/eV/cell.


<C>
This record from Alexandria via LeMat-Bulk describes a geometry-optimized Y2BeAs structure. The functional is GGA-PBE.

The space group is R-3m (No. 166, hexagonal axes) and the conventional cell measures 4.0210, 4.0210 and 20.5698 Å, with angles of 90.00, 90.00 and 120.00 degrees. The asymmetric unit holds Y at (0.0000, 0.0000, 0.2474), Be at (0.0000, 0.0000, 0.0000) and As at (0.0000, 0.0000, 0.5000).

The calculation puts the density of states at the Fermi level at 13.2 states/eV/cell.


<D>
This record from Alexandria via LeMat-Bulk describes a geometry-optimized Y2BeAs structure. The functional is GGA-PBE.

The space group is F-43m (No. 216) and the conventional cell measures 7.014, 7.014 and 7.014 Å, with angles of 90.00, 90.00 and 90.00 degrees. The asymmetric unit holds Y at (0.000, 0.000, 0.000), Y at (0.250, 0.250, 0.250), Be at (0.250, 0.250, 0.750) and As at (0.000, 0.000, 0.500).

The calculation puts the density of states at the Fermi level at 19.6 states/eV/cell.


Structures ranked by computed energy, the most stable listed first: <B>, <C>, <A>, <D>.


<A>
This record from Alexandria via LeMat-Bulk describes a geometry-optimized Y2BeAs structure. The functional is GGA-PBE.

The space group is P4mm (No. 99) and the conventional cell measures 3.397, 3.397 and 7.704 Å, with angles of 90.00, 90.00 and 90.00 degrees. The asymmetric unit holds Y at (0.000, 0.000, 0.000), Y at (0.500, 0.500, 0.364), Be at (0.500, 0.500, 0.743) and As at (0.000, 0.000, 0.627).

The calculation puts the density of states at the Fermi level at 3.6 states/eV/cell.


<B>
This record from Alexandria via LeMat-Bulk describes a geometry-optimized Y2BeAs structure. The functional is GGA-PBE.

The space group is Fm-3m (No. 225) and the conventional cell measures 6.996, 6.996 and 6.996 Å, with angles of 90.00, 90.00 and 90.00 degrees. The asymmetric unit holds Y at (0.250, 0.250, 0.250), Be at (0.000, 0.000, 0.000) and As at (0.000, 0.000, 0.500).

The calculation puts the density of states at the Fermi level at 16.4 states/eV/cell.


Structures ranked by computed energy, the most stable listed first: <B>, <A>.